(1)
Below is a relaxed DyTlSn2I8 crystal, with properties calculated at the PBE level.

Results
Space-group type: P-1, No. 2
Formation energy from raw total energies, meV/atom: -785.3
Raw total energy, eV/cell: -36.80

a b c (Å): 7.312 7.779 9.549
angles (deg): 89.98 89.96 88.91
Atoms (fractional coordinates):
Dy1 0.000 0.000 0.000
Tl1 0.000 0.000 0.500
Sn1 0.500 0.500 0.251
Sn2 0.500 0.500 0.749
I1 0.236 0.324 0.000
I2 0.248 0.844 0.223
I3 0.248 0.844 0.776
I4 0.270 0.362 0.500
I5 0.730 0.638 0.500
I6 0.752 0.156 0.224
I7 0.752 0.156 0.777
I8 0.764 0.676 0.000

(2)
Below is a relaxed SrDyI2 crystal, with properties calculated at the PBE level.

Results
Space-group type: R-3m, No. 166
Formation energy from raw total energies, meV/atom: -811.8
Raw total energy, eV/cell: -12.63

a b c (Å): 11.508 11.508 11.508
angles (deg): 20.35 20.35 20.35
Atoms (fractional coordinates):
Sr1 0.000 0.000 0.000
Dy1 0.500 0.500 0.500
I1 0.105 0.105 0.105
I2 0.895 0.895 0.895

(3)
Below is a relaxed SrDyI6 crystal, with properties calculated at the PBE level.

Results
Space-group type: P-1, No. 2
Formation energy from raw total energies, meV/atom: -1197.7
Raw total energy, eV/cell: -25.17

a b c (Å): 7.888 7.891 8.119
angles (deg): 61.45 61.42 60.06
Atoms (fractional coordinates):
Sr1 0.000 0.000 0.000
Dy1 0.500 0.500 0.500
I1 0.086 0.443 0.747
I2 0.274 0.916 0.256
I3 0.447 0.720 0.751
I4 0.553 0.280 0.249
I5 0.726 0.084 0.744
I6 0.914 0.557 0.253

(4)
Below is a relaxed SrDyTlI6 crystal, with properties calculated at the PBE level.

Results
Space-group type: P-31c, No. 163
Formation energy from raw total energies, meV/atom: -1333.0
Raw total energy, eV/cell: -59.90

a b c (Å): 8.197 8.197 15.000
angles (deg): 90.00 90.00 120.00
Atoms (fractional coordinates):
Sr1 0.333 0.667 0.250
Sr2 0.667 0.333 0.750
Dy1 0.333 0.667 0.750
Dy2 0.667 0.333 0.250
Tl1 0.000 0.000 0.000
Tl2 0.000 0.000 0.500
I1 0.023 0.374 0.631
I2 0.023 0.649 0.869
I3 0.351 0.374 0.869
I4 0.351 0.977 0.631
I5 0.374 0.023 0.131
I6 0.374 0.351 0.369
I7 0.626 0.649 0.631
I8 0.626 0.977 0.869
I9 0.649 0.023 0.369
I10 0.649 0.626 0.131
I11 0.977 0.351 0.131
I12 0.977 0.626 0.369

(5)
Below is a relaxed Tb2DyI crystal, with properties calculated at the PBE level.

Results
Space-group type: R-3m, No. 166
Formation energy from raw total energies, meV/atom: -347.8
Raw total energy, eV/cell: -16.80
Excess energy over the best structure of this formula in the dataset, eV/atom: 0.0000

a b c (Å): 10.721 10.721 10.721
angles (deg): 20.07 20.07 20.07
Atoms (fractional coordinates):
Tb1 0.246 0.246 0.246
Tb2 0.754 0.754 0.754
Dy1 0.000 0.000 0.000
I1 0.500 0.500 0.500

(6)
Below is a relaxed TbDyI6 crystal, with properties calculated at the PBE level.

Results
Space-group type: C2/m, No. 12
Formation energy from raw total energies, meV/atom: -1353.5
Raw total energy, eV/cell: -29.36
Excess energy over the best structure of this formula in the dataset, eV/atom: 0.0000

a b c (Å): 8.105 8.105 7.472
angles (deg): 98.38 98.38 125.10
Atoms (fractional coordinates):
Tb1 0.000 0.000 0.000
Dy1 0.500 0.500 0.500
I1 0.103 0.399 0.251
I2 0.250 0.250 0.749
I3 0.399 0.103 0.251
I4 0.601 0.897 0.749
I5 0.750 0.750 0.251
I6 0.897 0.601 0.749